A relaxed structure of CsLiSCl2, computed with PBE.

Geometry as POSCAR:
```
CsLiSCl2
1.0
6.3627 0.0000 0.0000
0.0000 6.3627 0.0000
0.0000 0.0000 5.6627
Cs Li S Cl
1 1 1 2
Direct
0.0000 0.0000 0.0000
0.5000 0.5000 0.5000
0.0000 0.0000 0.5000
0.0000 0.5000 0.0000
0.5000 0.0000 0.0000
```

Results
Formation energy without anion corrections = -1.24 eV/f.u.
Energy above the most stable polymorph in this dataset = 3.38 eV/f.u.
Spin magnetization = 1.03 μB per formula unit
Space group = P4/mmm

A relaxed structure of CsLiSbCl6, computed with PBE.

Geometry as POSCAR:
```
CsLiSbCl6
1.0
6.7515 0.0000 0.0000
-3.3757 5.8470 0.0000
0.0000 0.0000 7.8239
Cs Li Sb Cl
1 1 1 6
Direct
0.0000 0.0000 0.0000
0.3333 0.6667 0.5000
0.6667 0.3333 0.5000
0.3794 0.0069 0.6880
0.3794 0.3726 0.3120
0.6274 0.0069 0.3120
0.6274 0.6206 0.6880
0.9931 0.3726 0.6880
0.9931 0.6206 0.3120
```

Results
Formation energy without anion corrections = -11.43 eV/f.u.
Spin magnetization = 0.66 μB per formula unit
Space group = P312

A relaxed structure of CsLi2SbCl6, computed with PBE.

Geometry as POSCAR:
```
CsLi2SbCl6
1.0
6.9931 -6.4882 0.0000
6.9931 6.4882 0.0000
-2.3344 0.0000 7.8657
Cs Li Sb Cl
2 4 2 12
Direct
0.1014 0.8986 0.7500
0.8986 0.1014 0.2500
0.3575 0.4893 0.8541
0.4893 0.3575 0.3541
0.5107 0.6425 0.6459
0.6425 0.5107 0.1459
0.2780 0.7220 0.2500
0.7220 0.2780 0.7500
0.0416 0.7426 0.3219
0.1469 0.6124 0.9412
0.2574 0.9584 0.1781
0.3381 0.4557 0.5513
0.3876 0.8531 0.5588
0.4557 0.3381 0.0513
0.5443 0.6619 0.9487
0.6124 0.1469 0.4412
0.6619 0.5443 0.4487
0.7426 0.0416 0.8219
0.8531 0.3876 0.0588
0.9584 0.2574 0.6781
```

Results
Formation energy without anion corrections = -14.45 eV/f.u.
Spin magnetization = 0.00 μB per formula unit
Space group = C2/c

A relaxed structure of CsLiSc2Cl8, computed with PBE.

Geometry as POSCAR:
```
CsLiSc2Cl8
1.0
6.6106 0.0000 0.0000
-0.6006 7.8008 0.0000
-3.2092 -1.9938 7.4108
Cs Li Sc Cl
1 1 2 8
Direct
0.0000 0.0000 0.0000
0.0000 0.5000 0.0000
0.0362 0.7484 0.4957
0.9638 0.2516 0.5043
0.1648 0.3347 0.8453
0.2026 0.4639 0.4291
0.2201 0.0391 0.4591
0.3249 0.8218 0.7901
0.6751 0.1782 0.2099
0.7799 0.9609 0.5409
0.7974 0.5361 0.5709
0.8352 0.6653 0.1547
```

Results
Formation energy without anion corrections = -23.67 eV/f.u.
Spin magnetization = 0.00 μB per formula unit
Space group = P-1

A relaxed structure of CsLi2ScCl6, computed with PBE.

Geometry as POSCAR:
```
CsLi2ScCl6
1.0
6.9476 0.0000 0.0000
-3.2953 6.4084 0.0000
-1.5903 -3.0902 6.5426
Cs Li Sc Cl
1 2 1 6
Direct
0.0000 0.0000 0.0000
0.2482 0.5606 0.7247
0.5979 0.7157 0.3317
0.4584 0.1977 0.6477
0.0134 0.9805 0.5129
0.4196 0.4637 0.4858
0.4270 0.9393 0.3349
0.4602 0.9730 0.8436
0.4723 0.4891 0.9650
0.8905 0.4415 0.7793
```

Results
Formation energy without anion corrections = -19.81 eV/f.u.
Spin magnetization = 0.00 μB per formula unit
Space group = P1

A relaxed structure of Cs3Li2ScCl8, computed with PBE.

Geometry as POSCAR:
```
Cs3Li2ScCl8
1.0
7.3319 0.0000 0.0000
-3.6659 6.3496 0.0000
0.0000 0.0000 9.6906
Cs Li Sc Cl
3 2 1 8
Direct
0.0000 0.0000 0.0000
0.3333 0.6667 0.6693
0.6667 0.3333 0.3307
0.3333 0.6667 0.2355
0.6667 0.3333 0.7645
0.0000 0.0000 0.5000
0.1600 0.3201 0.3484
0.1600 0.8400 0.3484
0.3201 0.1600 0.6516
0.3333 0.6667 0.0073
0.6667 0.3333 0.9927
0.6799 0.8400 0.3484
0.8400 0.1600 0.6516
0.8400 0.6799 0.6516
```

Results
Formation energy without anion corrections = -27.63 eV/f.u.
Spin magnetization = 0.00 μB per formula unit
Space group = P-3m1

A relaxed structure of CsLiScCl5, computed with PBE.

Geometry as POSCAR:
```
CsLiScCl5
1.0
4.5363 -6.0614 0.0000
4.5363 6.0614 0.0000
-3.9087 0.0000 8.9471
Cs Li Sc Cl
2 2 2 10
Direct
0.1625 0.8375 0.7500
0.8375 0.1625 0.2500
0.1949 0.8051 0.2500
0.8051 0.1949 0.7500
0.5000 0.5000 0.0000
0.5000 0.5000 0.5000
0.1478 0.2841 0.9138
0.2195 0.6016 0.4052
0.2841 0.1478 0.4138
0.3984 0.7805 0.0948
0.4445 0.5555 0.7500
0.5555 0.4445 0.2500
0.6016 0.2195 0.9052
0.7159 0.8522 0.5862
0.7805 0.3984 0.5948
0.8522 0.7159 0.0862
```

Results
Formation energy without anion corrections = -16.17 eV/f.u.
Spin magnetization = 0.00 μB per formula unit
Space group = C2/c

A relaxed structure of CsLiSeCl6, computed with PBE.

Geometry as POSCAR:
```
CsLiSeCl6
1.0
6.5935 0.0000 0.0000
-3.2967 5.7101 0.0000
0.0000 0.0000 7.8145
Cs Li Se Cl
1 1 1 6
Direct
0.0000 0.0000 0.0000
0.3333 0.6667 0.5000
0.6667 0.3333 0.5000
0.3816 0.0180 0.6801
0.3816 0.3636 0.3199
0.6364 0.0180 0.3199
0.6364 0.6184 0.6801
0.9820 0.3636 0.6801
0.9820 0.6184 0.3199
```

Results
Formation energy without anion corrections = -9.40 eV/f.u.
Spin magnetization = 0.00 μB per formula unit
Space group = P312

A relaxed structure of Cs3Li2SmCl9, computed with PBE.

Geometry as POSCAR:
```
Cs3Li2SmCl9
1.0
7.4575 0.0000 0.0000
-3.7288 6.4584 0.0000
0.0000 0.0000 9.3182
Cs Li Sm Cl
3 2 1 9
Direct
0.0000 0.0000 0.0000
0.3333 0.6667 0.6753
0.6667 0.3333 0.3247
0.3333 0.6667 0.1536
0.6667 0.3333 0.8464
0.0000 0.0000 0.5000
0.0000 0.5000 0.0000
0.1695 0.3391 0.3307
0.1695 0.8305 0.3307
0.3391 0.1695 0.6693
0.5000 0.0000 0.0000
0.5000 0.5000 0.0000
0.6609 0.8305 0.3307
0.8305 0.1695 0.6693
0.8305 0.6609 0.6693
```

Results
Formation energy without anion corrections = -27.93 eV/f.u.
Spin magnetization = 1.06 μB per formula unit
Space group = P-3m1

A relaxed structure of CsLiSm2Cl8, computed with PBE.

Geometry as POSCAR:
```
CsLiSm2Cl8
1.0
6.8849 0.0000 0.0000
0.0000 8.6202 0.0000
-1.0474 0.0000 6.9679
Cs Li Sm Cl
1 1 2 8
Direct
0.0000 0.0000 0.0000
0.0000 0.5000 0.0000
0.5000 0.2624 0.5000
0.5000 0.7376 0.5000
0.2343 0.3010 0.1867
0.2343 0.6990 0.1867
0.3033 0.5000 0.6494
0.3136 0.0000 0.6311
0.6864 0.0000 0.3689
0.6967 0.5000 0.3506
0.7657 0.3010 0.8133
0.7657 0.6990 0.8133
```

Results
Formation energy without anion corrections = -25.19 eV/f.u.
Spin magnetization = 0.00 μB per formula unit
Space group = P2/m

A relaxed structure of Cs3Li2SmCl8, computed with PBE.

Geometry as POSCAR:
```
Cs3Li2SmCl8
1.0
7.5416 0.0000 0.0000
-3.7708 6.5312 0.0000
0.0000 0.0000 9.8221
Cs Li Sm Cl
3 2 1 8
Direct
0.0000 0.0000 0.0000
0.3333 0.6667 0.6649
0.6667 0.3333 0.3351
0.3333 0.6667 0.2214
0.6667 0.3333 0.7786
0.0000 0.0000 0.5000
0.1669 0.3338 0.3377
0.1669 0.8331 0.3377
0.3333 0.6667 0.9954
0.3338 0.1669 0.6623
0.6662 0.8331 0.3377
0.6667 0.3333 0.0046
0.8331 0.1669 0.6623
0.8331 0.6662 0.6623
```

Results
Formation energy without anion corrections = -28.20 eV/f.u.
Spin magnetization = 0.00 μB per formula unit
Space group = P-3m1

A relaxed structure of Cs2Li2SnCl6, computed with PBE.

Geometry as POSCAR:
```
Cs2Li2SnCl6
1.0
6.5586 -3.8156 0.0000
6.5586 3.8156 0.0000
-3.7051 0.0000 7.3717
Cs Li Sn Cl
2 2 1 6
Direct
0.2095 0.2095 0.1790
0.7905 0.7905 0.8210
0.4346 0.4346 0.7378
0.5654 0.5654 0.2622
0.0000 0.0000 0.5000
0.2108 0.7116 0.2171
0.2419 0.2419 0.6309
0.2884 0.7892 0.7829
0.7116 0.2108 0.2171
0.7581 0.7581 0.3691
0.7892 0.2884 0.7829
```

Results
Formation energy without anion corrections = -18.05 eV/f.u.
Spin magnetization = 0.00 μB per formula unit
Space group = C2/m

A relaxed structure of CsLiSn2Cl6, computed with PBE.

Geometry as POSCAR:
```
CsLiSn2Cl6
1.0
5.9360 -7.7204 0.0000
5.9360 7.7204 0.0000
-4.4400 0.0000 8.6337
Cs Li Sn Cl
2 2 4 12
Direct
0.0887 0.9113 0.7500
0.9113 0.0887 0.2500
0.2111 0.7889 0.2500
0.7889 0.2111 0.7500
0.2762 0.4586 0.8177
0.4586 0.2762 0.3177
0.5414 0.7238 0.6823
0.7238 0.5414 0.1823
0.0093 0.2289 0.6695
0.1803 0.6149 0.0004
0.2289 0.0093 0.1695
0.3009 0.3688 0.4671
0.3688 0.3009 0.9671
0.3851 0.8197 0.4996
0.6149 0.1803 0.5004
0.6312 0.6991 0.0329
0.6991 0.6312 0.5329
0.7711 0.9907 0.8305
0.8197 0.3851 0.9996
0.9907 0.7711 0.3305
```

Results
Formation energy without anion corrections = -13.44 eV/f.u.
Spin magnetization = 0.00 μB per formula unit
Space group = C2/c

A relaxed structure of Cs2Li3SnCl8, computed with PBE.

Geometry as POSCAR:
```
Cs2Li3SnCl8
1.0
3.9472 2.2789 8.3807
-3.9472 2.2789 8.3807
0.0000 -4.5579 8.3807
Cs Li Sn Cl
2 3 1 8
Direct
0.0000 0.0000 0.0000
0.3524 0.3524 0.3524
0.3261 0.3261 0.9159
0.3261 0.9159 0.3261
0.9159 0.3261 0.3261
0.8166 0.8166 0.8166
0.0847 0.0847 0.5603
0.0847 0.5603 0.0847
0.1295 0.1295 0.1295
0.1901 0.6201 0.6201
0.5603 0.0847 0.0847
0.6201 0.1901 0.6201
0.6201 0.6201 0.1901
0.7163 0.7163 0.7163
```

Results
Formation energy without anion corrections = -21.47 eV/f.u.
Spin magnetization = 0.00 μB per formula unit
Space group = R3m

A relaxed structure of CsSrLiCl4, computed with PBE.

Geometry as POSCAR:
```
CsSrLiCl4
1.0
6.9411 0.0000 0.0000
0.0000 7.1064 0.0000
-3.0960 0.0000 8.9141
Cs Sr Li Cl
2 2 2 8
Direct
0.2316 0.2500 0.4375
0.7684 0.7500 0.5625
0.2787 0.2500 0.9505
0.7213 0.7500 0.0495
0.2724 0.7500 0.1751
0.7276 0.2500 0.8249
0.0551 0.7500 0.9291
0.0722 0.7500 0.3312
0.4937 0.0010 0.7964
0.4937 0.4990 0.7964
0.5063 0.5010 0.2036
0.5063 0.9990 0.2036
0.9278 0.2500 0.6688
0.9449 0.2500 0.0709
```

Results
Formation energy without anion corrections = -15.04 eV/f.u.
Spin magnetization = 0.00 μB per formula unit
Space group = P2_1/m

A relaxed structure of Cs2LiTaCl6, computed with PBE.

Geometry as POSCAR:
```
Cs2LiTaCl6
1.0
0.0000 5.1806 5.1806
5.1806 0.0000 5.1806
5.1806 5.1806 0.0000
Cs Li Ta Cl
2 1 1 6
Direct
0.2500 0.2500 0.2500
0.7500 0.7500 0.7500
0.0000 0.0000 0.0000
0.5000 0.5000 0.5000
0.2587 0.2587 0.7413
0.2587 0.7413 0.2587
0.2587 0.7413 0.7413
0.7413 0.2587 0.2587
0.7413 0.2587 0.7413
0.7413 0.7413 0.2587
```

Results
Formation energy without anion corrections = -15.76 eV/f.u.
Spin magnetization = 2.00 μB per formula unit
Space group = Fm-3m

A relaxed structure of CsLiTb2Cl8, computed with PBE.

Geometry as POSCAR:
```
CsLiTb2Cl8
1.0
6.8416 0.0000 0.0000
0.0000 8.4617 0.0000
-1.0580 0.0000 6.9287
Cs Li Tb Cl
1 1 2 8
Direct
0.0000 0.0000 0.0000
0.0000 0.5000 0.0000
0.5000 0.2623 0.5000
0.5000 0.7377 0.5000
0.2477 0.2994 0.1829
0.2477 0.7006 0.1829
0.2983 0.5000 0.6399
0.3096 0.0000 0.6230
0.6904 0.0000 0.3770
0.7017 0.5000 0.3601
0.7523 0.2994 0.8171
0.7523 0.7006 0.8171
```

Results
Formation energy without anion corrections = -25.23 eV/f.u.
Spin magnetization = 0.00 μB per formula unit
Space group = P2/m

A relaxed structure of CsLi2TcCl8, computed with PBE.

Geometry as POSCAR:
```
CsLi2TcCl8
1.0
6.1628 0.0000 0.0000
2.6063 6.2183 0.0000
1.4697 -0.4660 9.0001
Cs Li Tc Cl
1 2 1 8
Direct
0.0000 0.0000 0.0000
0.4324 0.5135 0.1720
0.5676 0.4865 0.8280
0.0000 0.0000 0.5000
0.0448 0.7159 0.3304
0.2441 0.7407 0.6429
0.3307 0.0332 0.3675
0.3750 0.3134 0.9878
0.6250 0.6866 0.0122
0.6693 0.9668 0.6325
0.7559 0.2593 0.3571
0.9552 0.2841 0.6696
```

Results
Formation energy without anion corrections = -14.08 eV/f.u.
Spin magnetization = 1.95 μB per formula unit
Space group = P-1

A relaxed structure of CsLiTeCl6, computed with PBE.

Geometry as POSCAR:
```
CsLiTeCl6
1.0
6.7890 0.0000 0.0000
-3.3945 5.8794 0.0000
0.0000 0.0000 7.8266
Cs Li Te Cl
1 1 1 6
Direct
0.0000 0.0000 0.0000
0.3333 0.6667 0.5000
0.6667 0.3333 0.5000
0.3780 0.0050 0.6892
0.3780 0.3730 0.3108
0.6270 0.0050 0.3108
0.6270 0.6220 0.6892
0.9950 0.3730 0.6892
0.9950 0.6220 0.3108
```

Results
Formation energy without anion corrections = -10.93 eV/f.u.
Spin magnetization = 0.00 μB per formula unit
Space group = P312

A relaxed structure of Cs2LiTeCl6, computed with PBE.

Geometry as POSCAR:
```
Cs2LiTeCl6
1.0
3.7562 2.1687 13.4027
-3.7562 2.1687 13.4027
0.0000 -4.3373 13.4027
Cs Li Te Cl
4 2 2 12
Direct
0.1196 0.1196 0.1196
0.2994 0.2994 0.2994
0.7006 0.7006 0.7006
0.8804 0.8804 0.8804
0.4068 0.4068 0.4068
0.5932 0.5932 0.5932
0.0000 0.0000 0.0000
0.5000 0.5000 0.5000
0.1443 0.6213 0.6213
0.2142 0.2142 0.7169
0.2142 0.7169 0.2142
0.2831 0.7858 0.7858
0.3787 0.3787 0.8557
0.3787 0.8557 0.3787
0.6213 0.1443 0.6213
0.6213 0.6213 0.1443
0.7169 0.2142 0.2142
0.7858 0.2831 0.7858
0.7858 0.7858 0.2831
0.8557 0.3787 0.3787
```

Results
Formation energy without anion corrections = -13.21 eV/f.u.
Energy above the most stable polymorph in this dataset = 0.00 eV/f.u.
Spin magnetization = 1.00 μB per formula unit
Space group = R-3m